Density functional theory data (GGA-PBE) for an optimized crystal structure of Ta2TiMo2.

Cell: 7.1206 10.1556 5.0652 Å, 90.00 90.00 90.00°
Space group Ibam (No. 72)
Symmetry-distinct sites (fractional):
Ta (0.1549, 0.0800, 0.0000) (multiplicity 8)
Ti (0.0000, 0.5000, 0.2500) (multiplicity 4)
Mo (0.1642, 0.2088, 0.5000) (multiplicity 8)

Values from the calculation:
- Excess energy over the best structure of this formula in the dataset: 99 meV per atom
- VASP energy: -10.22 eV/atom
- Magnetization: 0.0 μB/cell
- Calculated density: 10.9 g/cm3
- Formation energy from the elements: 9.9 kcal/mol of atoms

=====

Density functional theory data (GGA-PBE) for an optimized crystal structure of TaTi2Mo5.

Cell: 6.3693 6.3693 6.3420 Å, 90.00 90.00 90.00°
Space group I4/mmm (No. 139)
Symmetry-distinct sites (fractional):
Ta (0.0000, 0.0000, 0.0000) (multiplicity 2)
Ti (0.0000, 0.5000, 0.0000) (multiplicity 4)
Mo (0.0000, 0.0000, 0.5000) (multiplicity 2)
Mo (0.2500, 0.2500, 0.2500) (multiplicity 8)

Values from the calculation:
- VASP energy: -10.34 eV/atom
- Magnetization: 0.0 μB/cell
- Calculated density: 9.8 g/cm3
- Formation energy from the elements: -2.6 kcal/mol of atoms

=====

Density functional theory data (GGA-PBE) for an optimized crystal structure of Ta6TiMo2.

Cell: 10.3539 3.2517 9.8922 Å, 90.00 108.67 90.00°
Space group C2/m (No. 12)
Symmetry-distinct sites (fractional):
Ta (0.0076, 0.0000, 0.3296) (multiplicity 4)
Ta (0.1697, 0.5000, 0.5648) (multiplicity 4)
Ta (0.1758, 0.5000, 0.8853) (multiplicity 4)
Ti (0.0000, 0.0000, 0.0000) (multiplicity 2)
Mo (0.1650, 0.5000, 0.2208) (multiplicity 4)

Values from the calculation:
- VASP energy: -11.27 eV/atom
- Magnetization: 0.0 μB/cell
- Calculated density: 14.0 g/cm3
- Formation energy from the elements: -1.9 kcal/mol of atoms

=====

Density functional theory data (GGA-PBE) for an optimized crystal structure of Ta3TiMo4.

Cell: 4.5488 4.5488 6.4223 Å, 90.00 90.00 90.00°
Space group P4/mmm (No. 123)
Symmetry-distinct sites (fractional):
Ta (0.0000, 0.0000, 0.0000) (multiplicity 1)
Ta (0.0000, 0.0000, 0.5000) (multiplicity 1)
Ta (0.5000, 0.5000, 0.0000) (multiplicity 1)
Ti (0.5000, 0.5000, 0.5000) (multiplicity 1)
Mo (0.0000, 0.5000, 0.2508) (multiplicity 4)

Values from the calculation:
- VASP energy: -11.01 eV/atom
- Magnetization: 0.0 μB/cell
- Calculated density: 12.2 g/cm3
- Formation energy from the elements: -3.8 kcal/mol of atoms

=====

Density functional theory data (GGA-PBE) for an optimized crystal structure of TaTi2Mo2.

Cell: 7.2451 7.2451 3.2670 Å, 90.00 90.00 90.00°
Space group P4/mbm (No. 127)
Symmetry-distinct sites (fractional):
Ta (0.0000, 0.0000, 0.0000) (multiplicity 2)
Ti (0.1489, 0.3511, 0.5000) (multiplicity 4)
Mo (0.1540, 0.6540, 0.0000) (multiplicity 4)

Values from the calculation:
- Excess energy over the best structure of this formula in the dataset: 391 meV per atom
- VASP energy: -9.62 eV/atom
- Magnetization: 0.0 μB/cell
- Calculated density: 9.1 g/cm3
- Formation energy from the elements: 5.6 kcal/mol of atoms

=====

Density functional theory data (GGA-PBE) for an optimized crystal structure of TaTi5Mo6.

Cell: 4.5160 13.3822 6.3669 Å, 90.00 90.00 90.00°
Space group Cmmm (No. 65)
Symmetry-distinct sites (fractional):
Ta (0.0000, 0.0000, 0.0000) (multiplicity 2)
Ti (0.0000, 0.0000, 0.5000) (multiplicity 2)
Ti (0.0000, 0.3317, 0.0000) (multiplicity 4)
Ti (0.0000, 0.3338, 0.5000) (multiplicity 4)
Mo (0.0000, 0.1678, 0.2509) (multiplicity 8)
Mo (0.0000, 0.5000, 0.2501) (multiplicity 4)

Values from the calculation:
- VASP energy: -9.77 eV/atom
- Magnetization: 0.0 μB/cell
- Calculated density: 8.6 g/cm3
- Formation energy from the elements: -1.7 kcal/mol of atoms

=====

Density functional theory data (GGA-PBE) for an optimized crystal structure of Ta2Ti2Mo3.

Cell: 9.7422 4.4733 5.3852 Å, 90.00 97.22 90.00°
Space group C2/m (No. 12)
Symmetry-distinct sites (fractional):
Ta (0.0786, 0.0000, 0.2817) (multiplicity 4)
Ti (0.2210, 0.0000, 0.8397) (multiplicity 4)
Mo (0.0000, 0.5000, 0.0000) (multiplicity 2)
Mo (0.1377, 0.5000, 0.5797) (multiplicity 4)

Values from the calculation:
- Excess energy over the best structure of this formula in the dataset: 0 meV per atom
- VASP energy: -10.42 eV/atom
- Magnetization: 0.0 μB/cell
- Calculated density: 10.6 g/cm3
- Formation energy from the elements: -3.2 kcal/mol of atoms

=====

Density functional theory data (GGA-PBE) for an optimized crystal structure of TaTiMo.

Cell: 2.8489 4.5606 7.7887 Å, 90.00 91.58 90.00°
Space group P2_1/m (No. 11)
Symmetry-distinct sites (fractional):
Ta (0.1460, 0.2500, 0.4063) (multiplicity 2)
Ti (0.4881, 0.2500, 0.7594) (multiplicity 2)
Mo (0.1486, 0.7500, 0.9219) (multiplicity 2)

Values from the calculation:
- Excess energy over the best structure of this formula in the dataset: 70 meV per atom
- VASP energy: -10.25 eV/atom
- Magnetization: 0.0 μB/cell
- Calculated density: 10.7 g/cm3
- Formation energy from the elements: -1.4 kcal/mol of atoms

=====

Density functional theory data (GGA-PBE) for an optimized crystal structure of Ta6Ti2Mo.

Cell: 6.4750 5.5406 9.9373 Å, 90.00 109.85 90.00°
Space group P2_1/c (No. 14)
Symmetry-distinct sites (fractional):
Ta (0.1132, 0.1971, 0.0051) (multiplicity 4)
Ta (0.1184, 0.5174, 0.2461) (multiplicity 4)
Ta (0.2840, 0.6238, 0.9995) (multiplicity 4)
Ti (0.3820, 0.5359, 0.7510) (multiplicity 4)
Mo (0.5000, 0.0000, 0.0000) (multiplicity 2)

Values from the calculation:
- Excess energy over the best structure of this formula in the dataset: 0 meV per atom
- VASP energy: -10.55 eV/atom
- Magnetization: 0.0 μB/cell
- Calculated density: 12.7 g/cm3
- Formation energy from the elements: 7.1 kcal/mol of atoms

=====

Density functional theory data (GGA-PBE) for an optimized crystal structure of TaTi3Mo.

Cell: 4.6338 4.6338 4.6338 Å, 90.00 90.00 90.00°
Space group Pm-3m (No. 221)
Symmetry-distinct sites (fractional):
Ta (0.0000, 0.0000, 0.0000) (multiplicity 1)
Ti (0.0000, 0.5000, 0.5000) (multiplicity 3)
Mo (0.5000, 0.5000, 0.5000) (multiplicity 1)

Values from the calculation:
- Excess energy over the best structure of this formula in the dataset: 991 meV per atom
- VASP energy: -8.33 eV/atom
- Magnetization: 0.0 μB/cell
- Calculated density: 7.0 g/cm3
- Formation energy from the elements: 21.9 kcal/mol of atoms

=====

Density functional theory data (GGA-PBE) for an optimized crystal structure of Ta6Ti2Mo.

Cell: 4.4110 6.1988 13.2982 Å, 90.00 90.00 90.00°
Space group Immm (No. 71)
Symmetry-distinct sites (fractional):
Ta (0.0000, 0.2490, 0.0000) (multiplicity 4)
Ta (0.0000, 0.2498, 0.3330) (multiplicity 8)
Ti (0.0000, 0.5000, 0.1666) (multiplicity 4)
Mo (0.0000, 0.5000, 0.5000) (multiplicity 2)

Values from the calculation:
- Excess energy over the best structure of this formula in the dataset: 543 meV per atom
- VASP energy: -10.01 eV/atom
- Magnetization: 0.0 μB/cell
- Calculated density: 11.7 g/cm3
- Formation energy from the elements: 19.6 kcal/mol of atoms

=====

Density functional theory data (GGA-PBE) for an optimized crystal structure of TaTi2Mo2.

Cell: 3.6785 3.6785 13.2318 Å, 90.00 90.00 90.00°
Space group I4/mmm (No. 139)
Symmetry-distinct sites (fractional):
Ta (0.0000, 0.0000, 0.0000) (multiplicity 2)
Ti (0.0000, 0.0000, 0.4030) (multiplicity 4)
Mo (0.0000, 0.5000, 0.2500) (multiplicity 4)

Values from the calculation:
- Excess energy over the best structure of this formula in the dataset: 741 meV per atom
- VASP energy: -9.27 eV/atom
- Magnetization: 0.0 μB/cell
- Calculated density: 8.7 g/cm3
- Formation energy from the elements: 13.7 kcal/mol of atoms

=====

Density functional theory data (GGA-PBE) for an optimized crystal structure of Ta4TiMo2.

Cell: 4.6531 4.6531 20.9330 Å, 90.00 90.00 120.00°
Space group R-3m (No. 166, hexagonal axes)
Symmetry-distinct sites (fractional):
Ta (0.0000, 0.0000, 0.1137) (multiplicity 6)
Ta (0.0000, 0.0000, 0.2513) (multiplicity 6)
Ti (0.0000, 0.0000, 0.5000) (multiplicity 3)
Mo (0.0000, 0.0000, 0.3780) (multiplicity 6)

Values from the calculation:
- VASP energy: -10.59 eV/atom
- Magnetization: 0.0 μB/cell
- Calculated density: 12.2 g/cm3
- Formation energy from the elements: 9.4 kcal/mol of atoms

=====

Density functional theory data (GGA-PBE) for an optimized crystal structure of Ta2TiVMo.

Cell: 4.8691 4.8691 4.4190 Å, 90.00 90.00 90.00°
Space group P4/mmm (No. 123)
Symmetry-distinct sites (fractional):
Ta (0.0000, 0.5000, 0.0000) (multiplicity 2)
Ti (0.0000, 0.0000, 0.5000) (multiplicity 1)
V (0.5000, 0.5000, 0.5000) (multiplicity 1)
Mo (0.5000, 0.5000, 0.0000) (multiplicity 1)

Values from the calculation:
- VASP energy: -9.03 eV/atom
- Magnetization: 1.2 μB/cell
- Calculated density: 8.8 g/cm3
- Formation energy from the elements: 29.4 kcal/mol of atoms

=====

Density functional theory data (GGA-PBE) for an optimized crystal structure of TaTi2Mo4W2.

Cell: 13.5140 3.1754 7.1312 Å, 90.00 108.30 90.00°
Space group C2/m (No. 12)
Symmetry-distinct sites (fractional):
Ta (0.0000, 0.0000, 0.0000) (multiplicity 2)
Ti (0.1087, 0.0000, 0.6634) (multiplicity 4)
Mo (0.0584, 0.5000, 0.3336) (multiplicity 4)
Mo (0.2198, 0.0000, 0.3348) (multiplicity 4)
W (0.1717, 0.5000, 0.0040) (multiplicity 4)

Values from the calculation:
- VASP energy: -10.90 eV/atom
- Magnetization: 0.0 μB/cell
- Calculated density: 11.8 g/cm3
- Formation energy from the elements: -3.2 kcal/mol of atoms

=====

Density functional theory data (GGA-PBE) for an optimized crystal structure of TaTi2Mo6W3.

Cell: 5.4023 7.9723 9.1676 Å, 90.00 90.05 90.00°
Space group C2/m (No. 12)
Symmetry-distinct sites (fractional):
Ta (0.0000, 0.0000, 0.0000) (multiplicity 2)
Ti (0.0000, 0.3341, 0.0000) (multiplicity 4)
Mo (0.2474, 0.3326, 0.2504) (multiplicity 8)
Mo (0.2505, 0.0000, 0.2513) (multiplicity 4)
W (0.0000, 0.1665, 0.5000) (multiplicity 4)
W (0.0000, 0.5000, 0.5000) (multiplicity 2)

Values from the calculation:
- VASP energy: -10.75 eV/atom
- Magnetization: 0.0 μB/cell
- Calculated density: 11.8 g/cm3
- Formation energy from the elements: 4.8 kcal/mol of atoms

=====

Density functional theory data (GGA-PBE) for an optimized crystal structure of Ta2Ti2Mo6W.

Cell: 4.5159 13.2796 6.2766 Å, 90.00 90.26 90.00°
Space group C2/m (No. 12)
Symmetry-distinct sites (fractional):
Ta (0.0000, 0.1652, 0.0000) (multiplicity 4)
Ti (0.0000, 0.1712, 0.5000) (multiplicity 4)
Mo (0.0001, 0.0000, 0.2623) (multiplicity 4)
Mo (0.9996, 0.3408, 0.2538) (multiplicity 8)
W (0.0000, 0.5000, 0.0000) (multiplicity 2)

Values from the calculation:
- VASP energy: -10.47 eV/atom
- Magnetization: 0.0 μB/cell
- Calculated density: 10.7 g/cm3
- Formation energy from the elements: 4.9 kcal/mol of atoms

=====

Density functional theory data (GGA-PBE) for an optimized crystal structure of Ta2Ti4Mo2W.

Cell: 5.3201 5.3340 5.3375 Å, 93.90 93.94 93.67°
Space group P-1 (No. 2)
Symmetry-distinct sites (fractional):
Ta (0.1001, 0.2637, 0.4348) (multiplicity 2)
Ti (0.2386, 0.0650, 0.9060) (multiplicity 2)
Ti (0.4354, 0.5943, 0.7642) (multiplicity 2)
Mo (0.3303, 0.8316, 0.3322) (multiplicity 2)
W (0.0000, 0.5000, 0.0000) (multiplicity 1)

Values from the calculation:
- VASP energy: -10.06 eV/atom
- Magnetization: 0.0 μB/cell
- Calculated density: 10.3 g/cm3
- Formation energy from the elements: -1.7 kcal/mol of atoms

=====

Density functional theory data (GGA-PBE) for an optimized crystal structure of TaTiMo2W2.

Cell: 4.5423 8.0466 5.4292 Å, 90.00 90.00 90.00°
Space group Pmc2_1 (No. 26)
Symmetry-distinct sites (fractional):
Ta (0.0000, 0.1724, 0.0000) (multiplicity 2)
Ti (0.5000, 0.0099, 0.3075) (multiplicity 2)
Mo (0.0000, 0.1699, 0.4994) (multiplicity 2)
Mo (0.5000, 0.3352, 0.1564) (multiplicity 2)
W (0.0000, 0.4949, 0.3349) (multiplicity 2)
W (0.5000, 0.3260, 0.6524) (multiplicity 2)

Values from the calculation:
- VASP energy: -11.16 eV/atom
- Magnetization: 0.6 μB/cell
- Calculated density: 13.2 g/cm3
- Formation energy from the elements: 1.3 kcal/mol of atoms

=====

Density functional theory data (GGA-PBE) for an optimized crystal structure of ZrTaTiMo.

Cell: 6.6207 6.6207 6.6207 Å, 90.00 90.00 90.00°
Space group F-43m (No. 216)
Symmetry-distinct sites (fractional):
Zr (0.0000, 0.0000, 0.0000) (multiplicity 4)
Ta (0.0000, 0.0000, 0.5000) (multiplicity 4)
Ti (0.2500, 0.2500, 0.2500) (multiplicity 4)
Mo (0.2500, 0.2500, 0.7500) (multiplicity 4)

Values from the calculation:
- VASP energy: -9.76 eV/atom
- Magnetization: 0.7 μB/cell
- Calculated density: 9.5 g/cm3
- Formation energy from the elements: 0.5 kcal/mol of atoms